Below is a geometry-optimized La2Ho5Sc2 structure, with properties calculated at the PBE-GGA level.

Properties
As for the magnetic moment: 0.0 Bohr magnetons per cell. As for the formation energy: 0.06 eV/atom. The value obtained for the volume is 30.79 Å³ per atom. Its raw total energy is -4.990 eV/atom.

Unit cell a=4.9449 b=7.9056 c=7.8588 alpha=107.20 beta=108.34 gamma=90.00
Last column: nearest neighbours and their distance in Å.
Fractional positions:
Sc1 0.4432 0.6665 0.8864  7 Ho 3.45-3.56, 4 La 3.48-3.51, 1 Sc 3.55
Ho1 0.2185 0.3336 0.4370  3 Sc 3.45-3.56, 6 Ho 3.50-3.62, 3 La 3.51-3.58
Ho2 0.0000 0.0000 0.0000  6 Ho 3.48-3.50, 2 La 3.50, 4 Sc 3.52
Ho3 0.3351 0.9956 0.6702  2 Sc 3.46-3.55, 7 Ho 3.48-3.62, 3 La 3.55-3.58
Ho4 0.7815 0.6664 0.5630  3 Sc 3.45-3.56, 6 Ho 3.50-3.62, 3 La 3.51-3.58
La1 0.1076 0.6651 0.2151  1 La 3.45, 4 Sc 3.48-3.51, 7 Ho 3.50-3.58
Ho5 0.6649 0.0044 0.3298  2 Sc 3.46-3.55, 7 Ho 3.48-3.62, 3 La 3.55-3.58
La2 0.8924 0.3349 0.7849  1 La 3.45, 4 Sc 3.48-3.51, 7 Ho 3.50-3.58
Sc2 0.5568 0.3335 0.1136  7 Ho 3.45-3.56, 4 La 3.48-3.51, 1 Sc 3.55

Below is a geometry-optimized ErPPt5 structure, with properties calculated at the PBE-GGA level.

Properties
As for the magnetic moment: 0.0 Bohr magnetons per cell. As for the formation energy: -0.85 eV/atom. The value obtained for the volume is 16.52 Å³ per atom. Its raw total energy is -6.593 eV/atom.

Unit cell a=4.0375 b=4.0375 c=7.0929 alpha=90.00 beta=90.00 gamma=90.00
Last column: nearest neighbours and their distance in Å.
Fractional positions:
Er1 0.0000 0.0000 0.5000  12 Pt 2.85-2.92
Pt1 0.0000 0.5000 0.7979  2 P 2.48
P1 0.5000 0.5000 0.0000  8 Pt 2.48
Pt2 0.5000 0.5000 0.5000  4 Er 2.85, 8 Pt 2.92
Pt3 0.5000 0.0000 0.7979  2 P 2.48
Pt4 0.5000 0.0000 0.2021  2 P 2.48
Pt5 0.0000 0.5000 0.2021  2 P 2.48

Below is a geometry-optimized PWN2 structure, with properties calculated at the PBE-GGA level.

Properties
As for the magnetic moment: 0.0 Bohr magnetons per cell. Its uncorrected formation energy is 0.49 eV per atom. The value obtained for the volume is 10.51 Å³ per atom. The calculation puts the energy above the most stable polymorph in this dataset at 0.402 eV/atom. Its raw total energy is -8.261 eV/atom.

Unit cell a=4.5592 b=4.5592 c=5.1740 alpha=63.86 beta=63.86 gamma=90.00
Last column: nearest neighbours and their distance in Å.
Fractional positions:
P1 0.2500 0.7500 0.5000  4 N 1.71
P2 0.5000 0.5000 0.0000  4 N 1.71
N1 0.2059 0.6250 0.2500  2 P 1.71
W1 0.7500 0.2500 0.5000  4 N 2.14
N2 0.5441 0.1250 0.2500  2 P 1.71
W2 0.0000 0.0000 0.0000  4 N 2.14
N3 0.3750 0.4559 0.7500  2 P 1.71
N4 0.8750 0.7941 0.7500  2 P 1.71

Below is a geometry-optimized MgCd2Ag structure, with properties calculated at the PBE-GGA level.

Properties
As for the magnetic moment: 0.0 Bohr magnetons per cell. As for the formation energy: -0.09 eV/atom. The value obtained for the volume is 20.13 Å³ per atom. The calculation puts the energy above the most stable polymorph in this dataset at 0.012 eV/atom. Its raw total energy is -1.662 eV/atom.

Unit cell a=5.1673 b=5.1673 c=5.1673 alpha=129.29 beta=129.29 gamma=74.55
Last column: nearest neighbours and their distance in Å.
Fractional positions:
Mg1 0.5000 0.5000 0.0000  4 Ag 3.02, 8 Cd 3.02-3.13
Ag1 0.7500 0.2500 0.5000  8 Cd 3.02-3.13, 4 Mg 3.02
Cd1 0.0000 0.0000 0.0000  4 Cd 3.02, 4 Ag 3.02, 4 Mg 3.13
Cd2 0.2500 0.7500 0.5000  4 Mg 3.02, 4 Cd 3.02, 4 Ag 3.13

Below is a geometry-optimized Tl5Ir structure, with properties calculated at the PBE-GGA level.

Properties
As for the magnetic moment: 0.0 Bohr magnetons per cell. As for the formation energy: 0.23 eV/atom. The value obtained for the volume is 29.28 Å³ per atom. The calculation puts the energy above the most stable polymorph in this dataset at 0.023 eV/atom. Its raw total energy is -3.215 eV/atom.

Unit cell a=11.7658 b=11.7658 c=4.5871 alpha=90.00 beta=90.00 gamma=163.94
Last column: nearest neighbours and their distance in Å.
Fractional positions:
Tl1 0.3655 0.6345 0.0000  2 Ir 2.98, 2 Tl 3.29
Tl2 0.7845 0.2155 0.5000  8 Tl 3.29-3.40
Tl3 0.1600 0.8400 0.5000  8 Tl 3.29-3.40
Tl4 0.4722 0.5278 0.5000  4 Ir 2.82
Tl5 0.5789 0.4211 0.0000  2 Ir 2.98, 2 Tl 3.29
Ir1 0.9722 0.0278 0.0000  8 Tl 2.82-2.98

Below is a geometry-optimized ZnI2O structure, with properties calculated at the PBE-GGA level.

Properties
As for the magnetic moment: 4.0 Bohr magnetons per cell. Its uncorrected formation energy is 0.20 eV per atom. The value obtained for the volume is 30.34 Å³ per atom. The calculation puts the energy above the most stable polymorph in this dataset at 0.000 eV/atom. Its raw total energy is -2.130 eV/atom.

Unit cell a=7.0060 b=7.0060 c=6.9999 alpha=59.97 beta=59.97 gamma=90.00
Last column: nearest neighbours and their distance in Å.
Fractional positions:
I1 0.3750 0.3498 0.7500  2 Zn 2.66, 2 O 2.88
O1 0.5000 0.5000 0.0000  4 I 2.88
I2 0.8750 0.9002 0.7500  2 Zn 2.66, 2 O 2.88
O2 0.2500 0.7500 0.5000  4 I 2.88
I3 0.0998 0.6250 0.2500  2 Zn 2.66, 2 O 2.88
I4 0.6502 0.1250 0.2500  2 Zn 2.66, 2 O 2.88
Zn1 0.0000 0.0000 0.0000  4 I 2.66
Zn2 0.7500 0.2500 0.5000  4 I 2.66

Below is a geometry-optimized SrYZnAg structure, with properties calculated at the PBE-GGA level.

Properties
As for the magnetic moment: 0.0 Bohr magnetons per cell. As for the formation energy: -0.20 eV/atom. The value obtained for the volume is 26.30 Å³ per atom. Its raw total energy is -3.268 eV/atom.

Unit cell a=5.2987 b=5.2987 c=5.2987 alpha=60.00 beta=60.00 gamma=60.00
Last column: nearest neighbours and their distance in Å.
Fractional positions:
Y1 0.2500 0.2500 0.2500  4 Ag 3.24, 4 Zn 3.24
Ag1 0.5000 0.5000 0.5000  4 Sr 3.24, 4 Y 3.24
Zn1 0.0000 0.0000 0.0000  4 Sr 3.24, 4 Y 3.24
Sr1 0.7500 0.7500 0.7500  4 Ag 3.24, 4 Zn 3.24

Below is a geometry-optimized Sb2AsHI structure, with properties calculated at the PBE-GGA level.

Properties
As for the magnetic moment: 0.0 Bohr magnetons per cell. The value obtained for the volume is 23.31 Å³ per atom. The calculation puts the energy above the most stable polymorph in this dataset at 0.000 eV/atom. Its raw total energy is -2.913 eV/atom.

Unit cell a=4.4246 b=4.4246 c=5.9540 alpha=90.00 beta=90.00 gamma=90.00
Last column: nearest neighbours and their distance in Å.
Fractional positions:
Sb1 0.0000 0.5000 0.0000  2 H 2.21
As1 0.5000 0.5000 0.5000  4 I 3.13
H1 0.0000 0.0000 0.0000  4 Sb 2.21
I1 0.0000 0.0000 0.5000  2 H 2.98, 4 As 3.13
Sb2 0.5000 0.0000 0.0000  2 H 2.21

Below is a geometry-optimized LaY3Te4 structure, with properties calculated at the PBE-GGA level.

Properties
As for the magnetic moment: 0.0 Bohr magnetons per cell. Its uncorrected formation energy is -1.38 eV per atom. The value obtained for the volume is 30.52 Å³ per atom. The calculation puts the energy above the most stable polymorph in this dataset at 0.002 eV/atom. Its raw total energy is -5.986 eV/atom.

Unit cell a=4.3617 b=4.3617 c=29.6388 alpha=90.00 beta=90.00 gamma=120.00
Last column: nearest neighbours and their distance in Å.
Fractional positions:
Te1 0.0000 0.0000 0.8191  3 Y 3.08, 3 La 3.25
Y1 0.0000 0.0000 0.0000  6 Te 3.09
Te2 0.0000 0.0000 0.1809  3 Y 3.08, 3 La 3.25
Te3 0.3333 0.6667 0.4395  6 Y 3.09
Y2 0.0000 0.0000 0.5000  6 Te 3.09
La1 0.6667 0.3333 0.7500  6 Te 3.25
Y3 0.3333 0.6667 0.8789  6 Te 3.08-3.09
Te4 0.6667 0.3333 0.5605  6 Y 3.09
Y4 0.3333 0.6667 0.6211  6 Te 3.08-3.09
Te5 0.3333 0.6667 0.0605  6 Y 3.09
Y5 0.6667 0.3333 0.1211  6 Te 3.08-3.09
Te6 0.0000 0.0000 0.3191  3 Y 3.08, 3 La 3.25
La2 0.3333 0.6667 0.2500  6 Te 3.25
Te7 0.6667 0.3333 0.9395  6 Y 3.09
Y6 0.6667 0.3333 0.3789  6 Te 3.08-3.09
Te8 0.0000 0.0000 0.6809  3 Y 3.08, 3 La 3.25

Below is a geometry-optimized Tb2Sm7Tm4 structure, with properties calculated at the PBE-GGA level.

Properties
As for the magnetic moment: 0.0 Bohr magnetons per cell. As for the formation energy: 0.18 eV/atom. The value obtained for the volume is 32.81 Å³ per atom. Its raw total energy is -4.449 eV/atom.

Unit cell a=6.1253 b=6.1253 c=13.1270 alpha=90.00 beta=90.00 gamma=120.00
Last column: nearest neighbours and their distance in Å.
Fractional positions:
Sm1 0.3689 0.3689 0.2224  1 Tm 3.18, 4 Sm 3.36, 2 Tb 3.51
Sm2 0.6311 0.6311 0.7776  1 Tm 3.18, 4 Sm 3.36, 2 Tb 3.51
Sm3 0.6311 0.0000 0.2224  1 Tm 3.18, 4 Sm 3.36, 2 Tb 3.51
Tm1 0.0000 0.0000 0.3931  1 Tm 2.81
Sm4 0.0000 0.6311 0.2224  1 Tm 3.18, 4 Sm 3.36, 2 Tb 3.51
Tb1 0.6667 0.3333 0.0000  9 Sm 3.51-3.54, 3 Tb 3.54
Tm2 0.6667 0.3333 0.5000  9 Tm 3.54-3.80
Sm5 0.3689 0.0000 0.7776  1 Tm 3.18, 4 Sm 3.36, 2 Tb 3.51
Tm3 0.0000 0.0000 0.6069  1 Tm 2.81
Tb2 0.3333 0.6667 0.0000  9 Sm 3.51-3.54, 3 Tb 3.54
Sm6 0.0000 0.3689 0.7776  1 Tm 3.18, 4 Sm 3.36, 2 Tb 3.51
Tm4 0.3333 0.6667 0.5000  9 Tm 3.54-3.80
Sm7 0.0000 0.0000 0.0000  6 Tb 3.54, 6 Sm 3.69

Below is a geometry-optimized YFe3As structure, with properties calculated at the PBE-GGA level.

Properties
As for the magnetic moment: 0.0 Bohr magnetons per cell. As for the formation energy: 0.37 eV/atom. The value obtained for the volume is 16.46 Å³ per atom. The calculation puts the energy above the most stable polymorph in this dataset at 0.000 eV/atom. Its raw total energy is -6.931 eV/atom.

Unit cell a=4.3496 b=4.3496 c=4.3496 alpha=90.00 beta=90.00 gamma=90.00
Last column: nearest neighbours and their distance in Å.
Fractional positions:
Y1 0.5000 0.5000 0.5000  12 Fe 3.08
As1 0.0000 0.0000 0.0000  6 Fe 2.17
Fe1 0.0000 0.0000 0.5000  2 As 2.17
Fe2 0.5000 0.0000 0.0000  2 As 2.17
Fe3 0.0000 0.5000 0.0000  2 As 2.17

Below is a geometry-optimized La2Pr3Er8 structure, with properties calculated at the PBE-GGA level.

Properties
As for the magnetic moment: 0.0 Bohr magnetons per cell. As for the formation energy: 0.03 eV/atom. The value obtained for the volume is 32.79 Å³ per atom. The calculation puts the energy above the most stable polymorph in this dataset at 0.000 eV/atom. Its raw total energy is -4.641 eV/atom.

Unit cell a=6.2494 b=6.2167 c=12.9201 alpha=94.68 beta=118.70 gamma=99.70
Last column: nearest neighbours and their distance in Å.
Fractional positions:
Er1 0.6918 0.8479 0.3839  1 Pr 3.56, 7 Er 3.57-3.60, 4 La 3.58-3.62
Er2 0.0796 0.5367 0.1550  6 Er 3.57-3.61, 5 Pr 3.58-3.62, 1 La 3.58
Pr1 0.5405 0.7693 0.0784  8 Er 3.56-3.62, 4 Pr 3.59-3.62
Er3 0.3845 0.6920 0.7685  2 La 3.57-3.59, 6 Er 3.57-3.61, 4 Pr 3.58-3.60
Er4 0.9204 0.4633 0.8450  6 Er 3.57-3.61, 5 Pr 3.58-3.62, 1 La 3.58
Er5 0.3082 0.1521 0.6161  1 Pr 3.56, 7 Er 3.57-3.60, 4 La 3.58-3.62
Er6 0.6155 0.3080 0.2315  2 La 3.57-3.59, 6 Er 3.57-3.61, 4 Pr 3.58-3.60
Er7 0.1531 0.0764 0.3072  7 Er 3.57-3.61, 2 Pr 3.58, 3 La 3.58-3.60
Pr2 0.4595 0.2307 0.9216  8 Er 3.56-3.62, 4 Pr 3.59-3.62
La1 0.2303 0.6137 0.4620  10 Er 3.57-3.62, 2 La 3.58-3.60
La2 0.7697 0.3863 0.5380  10 Er 3.57-3.62, 2 La 3.58-3.60
Pr3 0.0000 0.0000 0.0000  8 Er 3.58-3.61, 4 Pr 3.60-3.62
Er8 0.8469 0.9236 0.6928  7 Er 3.57-3.61, 2 Pr 3.58, 3 La 3.58-3.60